Pm2NdPaBi4 | the Alexandria database | GGA-PBE | optimized geometry; formation enthalpy at 0 K = -720.9 meV/atom; E = -5.632 eV per atom
1.0
-0.421 -3.038 3.358
7.811 0.237 1.192
-3.488 5.469 4.511
Pm Nd Pa Bi
2 1 1 4
direct
0.500 0.000 0.500
0.000 0.500 0.500
0.000 0.000 0.000
0.500 0.500 0.000
0.500 0.255 0.248
0.500 0.745 0.752
0.000 0.255 0.754
0.000 0.745 0.246

PrNd2PaBi4 | the Alexandria database | GGA-PBE | optimized geometry; formation enthalpy at 0 K = -727.5 meV/atom; E = -5.644 eV per atom
1.0
-1.003 -3.498 -2.766
7.517 -2.529 0.472
-4.259 -3.363 5.797
Pr Nd Pa Bi
1 2 1 4
direct
0.000 0.000 0.000
0.500 0.000 0.500
0.000 0.500 0.500
0.500 0.500 0.000
0.500 0.256 0.247
0.500 0.744 0.753
0.000 0.257 0.755
0.000 0.743 0.245

NdPu2PaBi5 | the Alexandria database | GGA-PBE | optimized geometry; formation enthalpy at 0 K = 217.5 meV/atom; E = -6.708 eV per atom
1.0
5.666 0.000 0.000
0.000 5.666 0.000
0.000 0.000 11.971
Nd Pu Pa Bi
1 2 1 5
direct
0.000 0.000 0.000
0.500 0.500 0.284
0.500 0.500 0.716
0.000 0.000 0.500
0.000 0.500 0.500
0.500 0.000 0.500
0.000 0.000 0.749
0.000 0.000 0.251
0.500 0.500 0.000

NdPaBiSb | the Alexandria database | GGA-PBE | optimized geometry; raw formation energy = -498 meV per atom; E = -6.065 eV per atom
1.0
5.451 0.000 0.000
2.725 4.721 0.000
2.725 1.574 4.451
Sb Pa Nd Bi
1 1 1 1
direct
0.250 0.250 0.250
0.500 0.500 0.500
0.000 0.000 0.000
0.750 0.750 0.750

Nd2ScPaBi4 | the Alexandria database | GGA-PBE | optimized geometry; formation enthalpy at 0 K = -640.1 meV/atom; E = -5.751 eV per atom
1.0
-3.405 -2.873 -0.592
2.730 -1.786 -7.039
3.145 -4.818 5.293
Nd Sc Pa Bi
2 1 1 4
direct
0.500 0.000 0.500
0.000 0.500 0.500
0.000 0.000 0.000
0.500 0.500 0.000
0.500 0.238 0.231
0.500 0.762 0.769
0.000 0.247 0.763
0.000 0.753 0.237

Nd2SmPaBi4 | the Alexandria database | GGA-PBE | optimized geometry; formation enthalpy at 0 K = -720.6 meV/atom; E = -5.630 eV per atom
1.0
-2.315 -2.269 3.194
6.444 -4.272 1.636
-0.062 6.471 4.551
Nd Sm Pa Bi
2 1 1 4
direct
0.500 0.000 0.500
0.000 0.500 0.500
0.000 0.000 0.000
0.500 0.500 0.000
0.500 0.252 0.244
0.500 0.748 0.756
0.000 0.254 0.757
0.000 0.746 0.243

NdSm2PaBi4 | the Alexandria database | GGA-PBE | optimized geometry; formation enthalpy at 0 K = -712.4 meV/atom; E = -5.616 eV per atom
1.0
4.538 0.000 0.000
0.000 7.887 0.152
0.000 -2.740 7.389
Nd Sm Pa Bi
1 2 1 4
direct
0.000 0.000 0.000
0.500 0.000 0.500
0.000 0.500 0.500
0.500 0.500 0.000
0.500 0.255 0.249
0.500 0.745 0.751
0.000 0.254 0.752
0.000 0.746 0.248

Tb2NdPaBi4 | the Alexandria database | GGA-PBE | optimized geometry; formation enthalpy at 0 K = -685.9 meV/atom; E = -5.567 eV per atom
1.0
-0.377 2.265 -3.878
1.204 -6.637 -3.993
-7.664 0.892 1.266
Tb Nd Pa Bi
2 1 1 4
direct
0.500 0.000 0.500
0.000 0.500 0.500
0.000 0.000 0.000
0.500 0.500 0.000
0.500 0.256 0.254
0.500 0.744 0.746
0.000 0.252 0.747
0.000 0.748 0.253

TbNd2PaBi4 | the Alexandria database | GGA-PBE | optimized geometry; formation enthalpy at 0 K = -707.9 meV/atom; E = -5.606 eV per atom
1.0
4.537 0.000 0.000
0.000 7.867 0.146
0.000 -2.739 7.399
Tb Nd Pa Bi
1 2 1 4
direct
0.000 0.000 0.000
0.500 0.000 0.500
0.000 0.500 0.500
0.500 0.500 0.000
0.500 0.248 0.241
0.500 0.752 0.759
0.000 0.253 0.758
0.000 0.747 0.242

Nd2TmPaBi4 | the Alexandria database | GGA-PBE | optimized geometry; formation enthalpy at 0 K = -679.9 meV/atom; E = -5.558 eV per atom
1.0
4.525 0.000 0.000
0.000 7.833 0.142
0.000 -2.732 7.382
Nd Tm Pa Bi
2 1 1 4
direct
0.500 0.000 0.500
0.000 0.500 0.500
0.500 0.500 0.000
0.000 0.000 0.000
0.500 0.249 0.241
0.500 0.751 0.759
0.000 0.255 0.762
0.000 0.745 0.238

Nd3BiPb2 | the Alexandria database | GGA-PBE | optimized geometry; formation enthalpy at 0 K = -592.2 meV/atom; E = -4.859 eV per atom
1.0
-5.391 0.165 -3.610
1.754 -8.560 -3.012
-1.323 -0.513 7.786
Nd Bi Pb
6 2 4
direct
0.500 0.250 0.000
0.500 0.750 0.000
0.164 0.082 0.328
0.836 0.418 0.672
0.164 0.582 0.328
0.836 0.918 0.672
0.000 0.750 0.000
0.000 0.250 0.000
0.666 0.583 0.333
0.667 0.083 0.333
0.333 0.917 0.667
0.334 0.417 0.667

Nd8BiPb5 | the Alexandria database | GGA-PBE | optimized geometry; formation enthalpy at 0 K = -626.2 meV/atom; E = -4.952 eV per atom
1.0
7.941 0.000 -2.766
-3.945 6.869 -2.821
-0.051 0.000 8.409
Nd Bi Pb
8 1 5
direct
0.124 0.750 0.016
0.984 0.108 0.735
0.762 0.249 0.374
0.626 0.389 0.876
0.487 0.611 0.238
0.627 0.892 0.876
0.265 0.250 0.373
0.124 0.751 0.513
0.250 0.500 0.750
0.001 0.375 0.125
0.875 0.876 0.250
0.750 0.625 0.626
0.500 0.000 0.500
0.374 0.124 0.999

Question: Which formula does entry 10 have?
Answer: Nd2TmPaBi4

Please write out number 3 again, unchanged.
NdPu2PaBi5 | the Alexandria database | GGA-PBE | optimized geometry; formation enthalpy at 0 K = 217.5 meV/atom; E = -6.708 eV per atom
1.0
5.666 0.000 0.000
0.000 5.666 0.000
0.000 0.000 11.971
Nd Pu Pa Bi
1 2 1 5
direct
0.000 0.000 0.000
0.500 0.500 0.284
0.500 0.500 0.716
0.000 0.000 0.500
0.000 0.500 0.500
0.500 0.000 0.500
0.000 0.000 0.749
0.000 0.000 0.251
0.500 0.500 0.000

Question: What is the E in the fourth record?
Answer: -6.065 eV per atom